# LiIn2S2, relaxed, DFT PBE
data_LiIn2S2
_cell_length_a 4.134
_cell_length_b 4.134
_cell_length_c 14.172
_cell_angle_alpha 90.00
_cell_angle_beta 90.00
_cell_angle_gamma 90.00
_symmetry_space_group_name_H-M 'I 4/m m m'
_symmetry_Int_Tables_number 139
_symmetry_space_group_name_Hall '-I 4 2'
loop_
_atom_site_label
_atom_site_type_symbol
_atom_site_fract_x
_atom_site_fract_y
_atom_site_fract_z
_atom_site_occupancy
Li1 Li 0.000 0.000 0.000 1
In1 In 0.000 0.500 0.250 1
S1 S 0.000 0.000 0.424 1
# N(E_F): 1.33 states/eV/f.u.
# formation energy from raw total energies: -100 kJ/mol of formula units

=====

# Na4IO4, relaxed, DFT PBE
data_Na4IO4
_cell_length_a 8.329
_cell_length_b 8.329
_cell_length_c 4.269
_cell_angle_alpha 90.00
_cell_angle_beta 90.00
_cell_angle_gamma 90.00
_symmetry_space_group_name_H-M 'I 4/m'
_symmetry_Int_Tables_number 87
_symmetry_space_group_name_Hall '-I 4'
loop_
_atom_site_label
_atom_site_type_symbol
_atom_site_fract_x
_atom_site_fract_y
_atom_site_fract_z
_atom_site_occupancy
Na1 Na 0.143 0.321 0.000 1
I1 I 0.000 0.000 0.500 1
O1 O 0.074 0.238 0.500 1
# N(E_F): 3.24 states/eV/f.u.
# formation energy from raw total energies: -965 kJ/mol of formula units

=====

# PrEr5Tm5, relaxed, DFT PBE
data_PrEr5Tm5
_cell_length_a 5.9964
_cell_length_b 5.9964
_cell_length_c 11.5295
_cell_angle_alpha 90.00
_cell_angle_beta 90.00
_cell_angle_gamma 120.00
_symmetry_space_group_name_H-M 'P -6 m 2'
_symmetry_Int_Tables_number 187
_symmetry_space_group_name_Hall 'P -6 2'
loop_
_atom_site_label
_atom_site_type_symbol
_atom_site_fract_x
_atom_site_fract_y
_atom_site_fract_z
_atom_site_occupancy
Pr1 Pr 0.0000 0.0000 0.0000 1
Er1 Er 0.0000 0.0000 0.3253 1
Er2 Er 0.3333 0.6667 0.1578 1
Er3 Er 0.6667 0.3333 0.0000 1
Tm1 Tm 0.0007 0.5003 0.5000 1
Tm2 Tm 0.6667 0.3333 0.2648 1
# N(E_F): 20.31 states/eV/f.u.
# energy relative to the elements: 0.32 eV/atom

=====

# Sm2Dy3TmSe6, relaxed, DFT PBE
data_Sm2Dy3TmSe6
_cell_length_a 17.851
_cell_length_b 4.082
_cell_length_c 8.239
_cell_angle_alpha 90.00
_cell_angle_beta 103.22
_cell_angle_gamma 90.00
_symmetry_space_group_name_H-M 'C 1 2/m 1'
_symmetry_Int_Tables_number 12
loop_
_symmetry_equiv_pos_as_xyz
'x,y,z'
'-x,-y,-z'
'-x,y,-z'
'x,-y,z'
'x+1/2,y+1/2,z'
'-x+1/2,-y+1/2,-z'
'-x+1/2,y+1/2,-z'
'x+1/2,-y+1/2,z'
loop_
_atom_site_label
_atom_site_type_symbol
_atom_site_fract_x
_atom_site_fract_y
_atom_site_fract_z
_atom_site_occupancy
Sm1 Sm 0.169 0.000 0.337 1
Dy1 Dy 0.000 0.500 0.500 1
Dy2 Dy 0.171 0.000 0.833 1
Tm1 Tm 0.000 0.500 0.000 1
Se1 Se 0.003 0.000 0.756 1
Se2 Se 0.163 0.500 0.075 1
Se3 Se 0.163 0.500 0.588 1
# N(E_F): 5.73 states/eV/f.u.
# formation energy from raw total energies: -2034 kJ/mol of formula units

=====

# Tl2CdIn2, relaxed, DFT PBE
data_Tl2CdIn2
_cell_length_a 4.262
_cell_length_b 4.262
_cell_length_c 16.917
_cell_angle_alpha 90.00
_cell_angle_beta 90.00
_cell_angle_gamma 90.00
_symmetry_space_group_name_H-M 'I 4/m m m'
_symmetry_Int_Tables_number 139
_symmetry_space_group_name_Hall '-I 4 2'
loop_
_atom_site_label
_atom_site_type_symbol
_atom_site_fract_x
_atom_site_fract_y
_atom_site_fract_z
_atom_site_occupancy
Tl1 Tl 0.000 0.000 0.096 1
Cd1 Cd 0.000 0.000 0.500 1
In1 In 0.000 0.500 0.250 1
# N(E_F): 2.73 states/eV/f.u.
# energy relative to the elements: 0.13 eV/atom

=====

# FeCoCl2, relaxed, DFT PBE
data_FeCoCl2
_cell_length_a 2.969
_cell_length_b 2.969
_cell_length_c 8.081
_cell_angle_alpha 90.00
_cell_angle_beta 90.00
_cell_angle_gamma 90.00
_symmetry_space_group_name_H-M 'P 4 m m'
_symmetry_Int_Tables_number 99
loop_
_symmetry_equiv_pos_as_xyz
'x,y,z'
'-y,x,z'
'-x,-y,z'
'y,-x,z'
'-x,y,z'
'y,x,z'
'x,-y,z'
'-y,-x,z'
loop_
_atom_site_label
_atom_site_type_symbol
_atom_site_fract_x
_atom_site_fract_y
_atom_site_fract_z
_atom_site_occupancy
Fe1 Fe 0.000 0.000 0.000 1
Co1 Co 0.500 0.500 0.781 1
Cl1 Cl 0.000 0.000 0.618 1
Cl2 Cl 0.500 0.500 0.174 1
# N(E_F): 3.80 states/eV/f.u.
# formation energy from raw total energies: 7 kJ/mol of formula units

=====

# In2ReW, relaxed, DFT PBE
data_In2ReW
_cell_length_a 9.686
_cell_length_b 3.152
_cell_length_c 4.846
_cell_angle_alpha 90.00
_cell_angle_beta 101.48
_cell_angle_gamma 90.00
_symmetry_space_group_name_H-M 'C 1 2/m 1'
_symmetry_Int_Tables_number 12
loop_
_symmetry_equiv_pos_as_xyz
'x,y,z'
'-x,-y,-z'
'-x,y,-z'
'x,-y,z'
'x+1/2,y+1/2,z'
'-x+1/2,-y+1/2,-z'
'-x+1/2,y+1/2,-z'
'x+1/2,-y+1/2,z'
loop_
_atom_site_label
_atom_site_type_symbol
_atom_site_fract_x
_atom_site_fract_y
_atom_site_fract_z
_atom_site_occupancy
In1 In 0.247 0.000 0.246 1
Re1 Re 0.000 0.500 0.000 1
W1 W 0.000 0.000 0.500 1
# N(E_F): 2.10 states/eV/f.u.
# energy relative to the elements: 0.69 eV/atom

=====

# VSbSe3, relaxed, DFT PBE
data_VSbSe3
_cell_length_a 4.072
_cell_length_b 21.633
_cell_length_c 6.762
_cell_angle_alpha 90.00
_cell_angle_beta 90.00
_cell_angle_gamma 90.00
_symmetry_space_group_name_H-M 'C m c 21'
_symmetry_Int_Tables_number 36
loop_
_symmetry_equiv_pos_as_xyz
'x,y,z'
'-x,-y,z+1/2'
'-x,y,z'
'x,-y,z+1/2'
'x+1/2,y+1/2,z'
'-x+1/2,-y+1/2,z+1/2'
'-x+1/2,y+1/2,z'
'x+1/2,-y+1/2,z+1/2'
loop_
_atom_site_label
_atom_site_type_symbol
_atom_site_fract_x
_atom_site_fract_y
_atom_site_fract_z
_atom_site_occupancy
V1 V 0.000 0.122 0.000 1
Sb1 Sb 0.000 0.337 0.934 1
Se1 Se 0.000 0.103 0.649 1
Se2 Se 0.000 0.219 0.180 1
Se3 Se 0.000 0.426 0.638 1
# N(E_F): 1.92 states/eV/f.u.
# formation energy from raw total energies: -158 kJ/mol of formula units

=====

# CsPt2Pb2, relaxed, DFT PBE
data_CsPt2Pb2
_cell_length_a 4.961
_cell_length_b 4.961
_cell_length_c 11.487
_cell_angle_alpha 90.00
_cell_angle_beta 90.00
_cell_angle_gamma 90.00
_symmetry_space_group_name_H-M 'I 4/m m m'
_symmetry_Int_Tables_number 139
_symmetry_space_group_name_Hall '-I 4 2'
loop_
_atom_site_label
_atom_site_type_symbol
_atom_site_fract_x
_atom_site_fract_y
_atom_site_fract_z
_atom_site_occupancy
Cs1 Cs 0.000 0.000 0.000 1
Pt1 Pt 0.000 0.000 0.382 1
Pb1 Pb 0.000 0.500 0.250 1
# N(E_F): 3.05 states/eV/f.u.
# energy relative to the elements: -0.13 eV/atom

=====

# CsHBr, relaxed, DFT PBE
data_CsHBr
_cell_length_a 5.184
_cell_length_b 5.184
_cell_length_c 29.955
_cell_angle_alpha 90.00
_cell_angle_beta 90.00
_cell_angle_gamma 90.00
_symmetry_space_group_name_H-M 'P 41 2 2'
_symmetry_Int_Tables_number 91
loop_
_symmetry_equiv_pos_as_xyz
'x,y,z'
'-y,x,z+1/4'
'-x,-y,z+1/2'
'y,-x,z+3/4'
'x,-y,-z+1/2'
'-y,-x,-z+1/4'
'-x,y,-z'
'y,x,-z+3/4'
loop_
_atom_site_label
_atom_site_type_symbol
_atom_site_fract_x
_atom_site_fract_y
_atom_site_fract_z
_atom_site_occupancy
Cs1 Cs 0.240 0.252 0.189 1
H1 H 0.264 0.335 0.866 1
Br1 Br 0.242 0.254 0.059 1
# N(E_F): 0.00 states/eV/f.u.
# total DFT energy (no corrections): -3.0910 eV/atom

=====

# PC, relaxed, DFT PBE
data_PC
_cell_length_a 5.430
_cell_length_b 9.342
_cell_length_c 2.490
_cell_angle_alpha 90.00
_cell_angle_beta 116.75
_cell_angle_gamma 90.00
_symmetry_space_group_name_H-M 'C 1 2/c 1'
_symmetry_Int_Tables_number 15
loop_
_symmetry_equiv_pos_as_xyz
'x,y,z'
'-x,-y,-z'
'-x,y,-z+1/2'
'x,-y,z+1/2'
'x+1/2,y+1/2,z'
'-x+1/2,-y+1/2,-z'
'-x+1/2,y+1/2,-z+1/2'
'x+1/2,-y+1/2,z+1/2'
loop_
_atom_site_label
_atom_site_type_symbol
_atom_site_fract_x
_atom_site_fract_y
_atom_site_fract_z
_atom_site_occupancy
P1 P 0.000 0.232 0.250 1
C1 C 0.000 0.036 0.250 1
# N(E_F): 0.86 states/eV/f.u.
# energy relative to the elements: 0.31 eV/atom

=====

# LiCd2Rh, relaxed, DFT PBE
data_LiCd2Rh
_cell_length_a 2.9735
_cell_length_b 2.9735
_cell_length_c 27.8200
_cell_angle_alpha 90.00
_cell_angle_beta 90.00
_cell_angle_gamma 120.00
_symmetry_space_group_name_H-M 'R -3 m'
_symmetry_Int_Tables_number 166
_symmetry_space_group_name_Hall '-R 3 2"'
loop_
_atom_site_label
_atom_site_type_symbol
_atom_site_fract_x
_atom_site_fract_y
_atom_site_fract_z
_atom_site_occupancy
Li1 Li 0.0000 0.0000 0.0000 1
Cd1 Cd 0.0000 0.0000 0.2479 1
Rh1 Rh 0.0000 0.0000 0.5000 1
# N(E_F): 2.16 states/eV/f.u.
# energy relative to the elements: -0.08 eV/atom